VASP calculation (PBE+U) on a geometry-optimized KMnCuO2 structure.

```
10
Lattice="6.097 0.000 0.000 0.000 4.726 0.000 -1.161 0.000 5.922" Properties=species:S:1:pos:R:3 pbc="T T T"
K -0.290 1.100 1.480
K -0.871 3.626 4.441
Mn 2.178 2.293 4.441
Mn 2.759 2.433 1.480
Cu 3.049 0.000 0.000
Cu 2.468 0.000 2.961
O 0.727 1.425 5.730
O 1.308 3.300 2.769
O 3.629 1.425 3.152
O 4.209 3.300 0.191
```

## Properties
As for the space-group type: P2/c, No. 13. The electronic total energy is -5.693 eV per atom.